1.
CaYPu2Se4 after structural relaxation. Source: Alexandria, functional GGA-PBE.

a b c (Å): 7.170 4.137 7.229
angles (deg): 90.00 109.59 90.00
Space group P2/m (No. 10)
One atom of each set of equivalent atoms:
Ca1 0.000 0.000 0.000 [1 per cell]
Y1 0.000 0.500 0.500 [1 per cell]
Pu1 0.500 0.000 0.500 [1 per cell]
Pu2 0.500 0.500 0.000 [1 per cell]
Se1 0.246 0.000 0.748 [2 per cell]
Se2 0.247 0.500 0.252 [2 per cell]

Computed properties:
The value obtained for the density of states at the Fermi level is 23.3 states/eV/cell. Its magnetization is 0.02 μB per formula unit. For the total DFT energy (no corrections), the calculation gives -8.07 eV/atom. The value obtained for the formation energy from raw total energies is -1682 meV/atom.

---

2.
Ca4Y3PuSe8 after structural relaxation. Source: Alexandria, functional GGA-PBE.

a b c (Å): 8.2610 8.2610 20.5396
angles (deg): 90.00 90.00 120.00
Space group R-3m (No. 166, hexagonal axes)
One atom of each set of equivalent atoms:
Ca1 0.0000 0.0000 0.0000 [3 per cell]
Ca2 0.0000 0.5000 0.0000 [9 per cell]
Y1 0.0000 0.5000 0.5000 [9 per cell]
Pu1 0.0000 0.0000 0.5000 [3 per cell]
Se1 0.0000 0.0000 0.2485 [6 per cell]
Se2 0.0034 0.5017 0.7508 [18 per cell]

Computed properties:
The value obtained for the density of states at the Fermi level is 45.5 states/eV/cell. Its magnetization is 6.05 μB per formula unit. For the total DFT energy (no corrections), the calculation gives -6.20 eV/atom. The value obtained for the formation energy from raw total energies is -1849 meV/atom.

---

Question: Which formula does entry 1 have?
Answer: CaYPu2Se4